# CdFeAg2

A relaxed CdFeAg2 crystal (PBE, the Alexandria database).

Properties
uncorrected energy	-3.5395	eV per atom
formation enthalpy at 0 K	0.23	eV per atom

Cell lengths 2.9033, 2.9033, 28.5934 Å; angles 90.00, 90.00, 120.00 degrees
With the nearest neighbours (Å) after each atom.
Fractional positions:
Cd  0.0000  0.0000  0.0000  6 Cd 2.90, 6 Ag 3.06
Cd  0.3333  0.6667  0.6667  6 Cd 2.90, 6 Ag 3.06
Cd  0.6667  0.3333  0.3333  6 Cd 2.90, 6 Ag 3.06
Fe  0.0000  0.0000  0.5000  6 Ag 2.77, 6 Fe 2.90
Fe  0.3333  0.6667  0.1667  6 Ag 2.77, 6 Fe 2.90
Fe  0.6667  0.3333  0.8333  6 Ag 2.77, 6 Fe 2.90
Ag  0.0000  0.0000  0.2440  3 Fe 2.77, 6 Ag 2.90, 3 Cd 3.06
Ag  0.0000  0.0000  0.7560  3 Fe 2.77, 6 Ag 2.90, 3 Cd 3.06
Ag  0.3333  0.6667  0.4227  3 Fe 2.77, 6 Ag 2.90, 3 Cd 3.06
Ag  0.3333  0.6667  0.9107  3 Fe 2.77, 6 Ag 2.90, 3 Cd 3.06
Ag  0.6667  0.3333  0.0893  3 Fe 2.77, 6 Ag 2.90, 3 Cd 3.06
Ag  0.6667  0.3333  0.5773  3 Fe 2.77, 6 Ag 2.90, 3 Cd 3.06


# MnPt2Rh

A relaxed MnPt2Rh crystal (PBE, the Alexandria database).

Properties
uncorrected energy	-7.2740	eV per atom
formation enthalpy at 0 K	-0.12	eV per atom

Cell lengths 2.7881, 2.7881, 26.5550 Å; angles 90.00, 90.00, 120.00 degrees
With the nearest neighbours (Å) after each atom.
Fractional positions:
Mn  0.0000  0.0000  0.0000  6 Pt 2.66, 6 Mn 2.79
Mn  0.3333  0.6667  0.6667  6 Pt 2.66, 6 Mn 2.79
Mn  0.6667  0.3333  0.3333  6 Pt 2.66, 6 Mn 2.79
Pt  0.0000  0.0000  0.2537  3 Mn 2.66, 6 Pt 2.79, 3 Rh 2.82
Pt  0.0000  0.0000  0.7463  3 Mn 2.66, 6 Pt 2.79, 3 Rh 2.82
Pt  0.3333  0.6667  0.4130  3 Mn 2.66, 6 Pt 2.79, 3 Rh 2.82
Pt  0.3333  0.6667  0.9203  3 Mn 2.66, 6 Pt 2.79, 3 Rh 2.82
Pt  0.6667  0.3333  0.0797  3 Mn 2.66, 6 Pt 2.79, 3 Rh 2.82
Pt  0.6667  0.3333  0.5870  3 Mn 2.66, 6 Pt 2.79, 3 Rh 2.82
Rh  0.0000  0.0000  0.5000  6 Rh 2.79, 6 Pt 2.82
Rh  0.3333  0.6667  0.1667  6 Rh 2.79, 6 Pt 2.82
Rh  0.6667  0.3333  0.8333  6 Rh 2.79, 6 Pt 2.82


# Na2SnSe2

A relaxed Na2SnSe2 crystal (PBE, the Alexandria database).

Properties
uncorrected energy	-3.3901	eV per atom
raw formation energy	-0.67	eV/atom

Cell lengths 7.8809, 7.8809, 4.0331 Å; angles 90.00, 90.00, 90.00 degrees
With the nearest neighbours (Å) after each atom.
Fractional positions:
Na  0.1345  0.3655  0.0000  6 Se 2.92-3.19, 1 Na 3.00
Na  0.3655  0.8655  0.0000  6 Se 2.92-3.19, 1 Na 3.00
Na  0.6345  0.1345  0.0000  6 Se 2.92-3.19, 1 Na 3.00
Na  0.8655  0.6345  0.0000  6 Se 2.92-3.19, 1 Na 3.00
Sn  0.0000  0.0000  0.5000  4 Se 2.91
Sn  0.5000  0.5000  0.5000  4 Se 2.91
Se  0.1759  0.6759  0.5000  2 Sn 2.91, 6 Na 2.92-3.19
Se  0.3241  0.1759  0.5000  2 Sn 2.91, 6 Na 2.92-3.19
Se  0.6759  0.8241  0.5000  2 Sn 2.91, 6 Na 2.92-3.19
Se  0.8241  0.3241  0.5000  2 Sn 2.91, 6 Na 2.92-3.19


# AcPuP2O8

A relaxed AcPuP2O8 crystal (PBE, the Alexandria database).

Properties
uncorrected energy	-8.4743	eV per atom
raw formation energy	-2.73	eV/atom

Cell lengths 5.3757, 5.3757, 7.5498 Å; angles 90.00, 90.00, 120.00 degrees
With the nearest neighbours (Å) after each atom.
Fractional positions:
Ac  0.0000  0.0000  0.0000  6 O 2.48
Pu  0.0000  0.0000  0.5000  6 O 2.53
P  0.3333  0.6667  0.3189  4 O 1.52-1.56
P  0.6667  0.3333  0.6811  4 O 1.52-1.56
O  0.1764  0.3528  0.2453  1 P 1.56
O  0.1764  0.8236  0.2453  1 P 1.56
O  0.3333  0.6667  0.5205  1 P 1.52
O  0.3528  0.1764  0.7547  1 P 1.56
O  0.6472  0.8236  0.2453  1 P 1.56
O  0.6667  0.3333  0.4795  1 P 1.52
O  0.8236  0.1764  0.7547  1 P 1.56
O  0.8236  0.6472  0.7547  1 P 1.56


# Li2TmAl2Ga2

A relaxed Li2TmAl2Ga2 crystal (PBE, the Alexandria database).

Properties
uncorrected energy	-3.5033	eV per atom
formation enthalpy at 0 K	-0.38	eV per atom

Cell lengths 7.4928, 4.3148, 8.0123 Å; angles 90.00, 107.88, 90.00 degrees
With the nearest neighbours (Å) after each atom.
Fractional positions:
Li  0.1428  0.0000  0.4303  3 Al 2.69, 3 Li 2.70-2.72, 4 Ga 2.72-3.01
Li  0.3572  0.5000  0.5697  3 Al 2.69, 3 Li 2.70-2.72, 4 Ga 2.72-3.01
Li  0.6428  0.5000  0.4303  3 Al 2.69, 3 Li 2.70-2.72, 4 Ga 2.72-3.01
Li  0.8572  0.0000  0.5697  3 Al 2.69, 3 Li 2.70-2.72, 4 Ga 2.72-3.01
Tm  0.0000  0.0000  0.0000  6 Ga 2.97, 2 Li 3.28
Tm  0.5000  0.5000  0.0000  6 Ga 2.97, 2 Li 3.28
Al  0.0679  0.5000  0.7011  3 Ga 2.58, 3 Li 2.69
Al  0.4321  0.0000  0.2989  3 Ga 2.58, 3 Li 2.69
Al  0.5679  0.0000  0.7011  3 Ga 2.58, 3 Li 2.69
Al  0.9321  0.5000  0.2989  3 Ga 2.58, 3 Li 2.69
Ga  0.2368  0.5000  0.2124  3 Al 2.58, 1 Li 2.72
Ga  0.2632  0.0000  0.7876  3 Al 2.58, 1 Li 2.72
Ga  0.7368  0.0000  0.2124  3 Al 2.58, 1 Li 2.72
Ga  0.7632  0.5000  0.7876  3 Al 2.58, 1 Li 2.72


# Na2Te3I

A relaxed Na2Te3I crystal (PBE, the Alexandria database).

Properties
uncorrected energy	-2.7981	eV per atom
raw formation energy	-0.53	eV/atom

Cell lengths 7.2949, 7.2949, 8.8504 Å; angles 90.00, 90.00, 112.01 degrees
With the nearest neighbours (Å) after each atom.
Fractional positions:
Na  0.0972  0.3731  0.2500  1 I 3.19, 5 Te 3.29-3.35
Na  0.3731  0.0972  0.7500  1 I 3.19, 5 Te 3.29-3.35
Na  0.6269  0.9028  0.2500  1 I 3.19, 5 Te 3.29-3.35
Na  0.9028  0.6269  0.7500  1 I 3.19, 5 Te 3.29-3.35
Te  0.2750  0.7250  0.5137  1 Te 2.78
Te  0.2750  0.7250  0.9863  1 Te 2.78
Te  0.4266  0.5734  0.7500  2 Te 2.78
Te  0.5734  0.4266  0.2500  2 Te 2.78
Te  0.7250  0.2750  0.0137  1 Te 2.78
Te  0.7250  0.2750  0.4863  1 Te 2.78
I  0.0727  0.9273  0.2500  2 Na 3.19, 2 Te 3.38
I  0.9273  0.0727  0.7500  2 Na 3.19, 2 Te 3.38